# Ni2GeCF

A relaxed structure of Ni2GeCF (PBE with a Hubbard U, Alexandria).

```
Ni2GeCF
1.0
3.8274 0.0000 0.0000
0.0000 4.5457 0.0000
0.0000 0.0000 3.8274
Ni Ge C F
2 1 1 1
Direct
0.0000 0.0000 0.5000 Ni
0.5000 0.0000 0.0000 Ni
0.5000 0.5000 0.5000 Ge
0.0000 0.5000 0.0000 C
0.0000 0.0000 0.0000 F
```

Values from the calculation:
The total energy comes out at -3.057 eV per atom. Its crystal system is tetragonal. For the density, the calculation gives 5512 kg/m³. Its space group is P4/mmm (123).